Here is a geometry-optimized RbLaAs2Pt4 structure from the Alexandria database. Energies are from PBE.

a = 4.095 Å, b = 4.095 Å, c = 11.577 Å
α = 90.00°, β = 90.00°, γ = 90.00°
Sites, in units of the cell vectors:
Rb 0.000 0.000 0.000
La 0.000 0.000 0.500
As 0.500 0.500 0.184
As 0.500 0.500 0.816
Pt 0.000 0.500 0.304
Pt 0.000 0.500 0.696
Pt 0.500 0.000 0.304
Pt 0.500 0.000 0.696

Calculated values
Density of states at the Fermi level   5.117 states/eV/f.u.
Crystal system   tetragonal
Total DFT energy (no corrections)   -5.549 eV/atom